FeSi2Te | GGA-PBE | relaxed Values from VASP.

Cell and atoms, written as Quantum ESPRESSO input:
```
&SYSTEM
  ibrav = 0, nat = 4, ntyp = 3
/
ATOMIC_SPECIES
Fe 55.84 Fe.upf
Si 28.09 Si.upf
Te 127.60 Te.upf
CELL_PARAMETERS angstrom
4.5315 0.0000 0.0000
0.0000 4.5315 0.0000
0.0000 0.0000 3.4637
ATOMIC_POSITIONS crystal
Fe 0.0000 0.5000 0.5000
Si 0.0000 0.0000 0.0000
Si 0.5000 0.5000 0.0000
Te 0.5000 0.0000 0.5000
```

Results
E in eV/atom: -4.8654
Formation energy without anion corrections in eV per atom: 0.747

=====

Fe2SiTe | GGA-PBE | relaxed Values from VASP.

Cell and atoms, written as Quantum ESPRESSO input:
```
&SYSTEM
  ibrav = 0, nat = 4, ntyp = 3
/
ATOMIC_SPECIES
Fe 55.84 Fe.upf
Si 28.09 Si.upf
Te 127.60 Te.upf
CELL_PARAMETERS angstrom
-3.7822 0.7852 2.2579
-0.6336 -1.8613 4.0191
0.0787 2.5429 3.6806
ATOMIC_POSITIONS crystal
Fe 0.0000 0.0000 0.0000
Fe 0.2500 0.2500 0.2500
Si 0.5000 0.5000 0.5000
Te 0.7500 0.7500 0.7500
```

Results
E in eV/atom: -5.7649
Offset from the most stable computed form in meV/atom: 511
Formation energy without anion corrections in eV per atom: 0.608

=====

FeSi2Te | GGA-PBE | relaxed Values from VASP.

Cell and atoms, written as Quantum ESPRESSO input:
```
&SYSTEM
  ibrav = 0, nat = 4, ntyp = 3
/
ATOMIC_SPECIES
Fe 55.84 Fe.upf
Si 28.09 Si.upf
Te 127.60 Te.upf
CELL_PARAMETERS angstrom
-3.5052 -2.1895 0.0745
-0.9620 -2.8219 -2.8631
2.1760 -3.8119 2.7043
ATOMIC_POSITIONS crystal
Fe 0.2500 0.2500 0.2500
Si 0.9239 0.9239 0.1987
Si 0.5761 0.5761 0.3013
Te 0.7500 0.7500 0.7500
```

Results
E in eV/atom: -5.3866
Formation energy without anion corrections in eV per atom: 0.226

=====

FeSi2Te | GGA-PBE | relaxed Values from VASP.

Cell and atoms, written as Quantum ESPRESSO input:
```
&SYSTEM
  ibrav = 0, nat = 4, ntyp = 3
/
ATOMIC_SPECIES
Fe 55.84 Fe.upf
Si 28.09 Si.upf
Te 127.60 Te.upf
CELL_PARAMETERS angstrom
-0.7746 1.2997 -3.4938
0.2177 -3.9014 -1.4996
-4.8621 1.3553 1.5821
ATOMIC_POSITIONS crystal
Fe 0.5000 0.7509 0.8772
Si 0.0000 0.8844 0.1443
Si 0.5000 0.2889 0.9539
Te 0.0000 0.5758 0.5246
```

Results
E in eV/atom: -5.5361
Formation energy without anion corrections in eV per atom: 0.077

=====

FeSi2Te | GGA-PBE | relaxed Values from VASP.

Cell and atoms, written as Quantum ESPRESSO input:
```
&SYSTEM
  ibrav = 0, nat = 4, ntyp = 3
/
ATOMIC_SPECIES
Fe 55.84 Fe.upf
Si 28.09 Si.upf
Te 127.60 Te.upf
CELL_PARAMETERS angstrom
4.5085 0.0000 0.0000
0.0000 3.9729 -0.0924
0.0000 0.8695 3.8786
ATOMIC_POSITIONS crystal
Fe 0.5000 0.7500 0.7500
Si 0.0000 0.9440 0.9440
Si 0.0000 0.5560 0.5560
Te 0.5000 0.2500 0.2500
```

Results
E in eV/atom: -5.2602
Formation energy without anion corrections in eV per atom: 0.352

=====

FeSi2Te | GGA-PBE | relaxed Values from VASP.

Cell and atoms, written as Quantum ESPRESSO input:
```
&SYSTEM
  ibrav = 0, nat = 4, ntyp = 3
/
ATOMIC_SPECIES
Fe 55.84 Fe.upf
Si 28.09 Si.upf
Te 127.60 Te.upf
CELL_PARAMETERS angstrom
5.8826 -0.0001 -0.0002
3.4747 4.7468 0.0002
-4.1806 -3.3552 2.4230
ATOMIC_POSITIONS crystal
Fe 0.7500 0.2500 0.5000
Si 0.9411 0.9411 0.0000
Si 0.5589 0.5589 0.0000
Te 0.2500 0.7500 0.5000
```

Results
E in eV/atom: -5.1159
Formation energy without anion corrections in eV per atom: 0.497

=====

Mass density for every record listed, in sequence, given in g/cm³: 5.59 7.01 5.40 5.14 5.70 5.88.